Compound: NpV2As
Source: Alexandria
Functional: PBE
Structure: relaxed

Cell: 4.4577 4.4577 4.4580 Å, 60.00 60.00 60.00°
Site moments in Bohr magnetons follow the coordinates.
Atoms (fractional coordinates):
1 Np 0.5000 0.5000 0.5000  3.24
2 V 0.7502 0.7502 0.7495  0.26
3 As 0.0000 0.0000 0.0000  -0.02
4 V 0.2498 0.2498 0.2505  0.26

relative energy among the computed polymorphs	99	meV/atom
total magnetic moment	0.952	μB/atom